# BeCrTc, optimized geometry, DFT PBE
data_BeCrTc
_symmetry_space_group_name_H-M 'P 1'
_symmetry_Int_Tables_number 1
_cell_length_a 3.997
_cell_length_b 2.975
_cell_length_c 11.704
_cell_angle_alpha 90.00
_cell_angle_beta 90.00
_cell_angle_gamma 90.00
loop_
_symmetry_equiv_pos_as_xyz
'x,y,z'
loop_
_atom_site_label
_atom_site_fract_x
_atom_site_fract_y
_atom_site_fract_z
_atom_site_occupancy
Cr1 0.500 0.000 0.491 1
Cr2 0.500 0.500 0.991 1
Cr3 0.000 0.000 0.684 1
Cr4 0.000 0.500 0.184 1
Tc1 0.000 0.000 0.014 1
Tc2 0.000 0.500 0.514 1
Tc3 0.500 0.000 0.816 1
Tc4 0.500 0.500 0.316 1
Be1 0.500 0.000 0.151 1
Be2 0.500 0.500 0.651 1
Be3 0.000 0.000 0.348 1
Be4 0.000 0.500 0.848 1
# Space group: Amm2
# Energy above the lowest structure with this stoichiometry, kJ/mol of formula units: 21
# Energy of formation, eV/atom: -0.0429

***

# CaMnSN2, optimized geometry, DFT PBE
data_CaMnSN2
_symmetry_space_group_name_H-M 'P 1'
_symmetry_Int_Tables_number 1
_cell_length_a 3.712
_cell_length_b 3.712
_cell_length_c 5.020
_cell_angle_alpha 90.00
_cell_angle_beta 90.00
_cell_angle_gamma 90.00
loop_
_symmetry_equiv_pos_as_xyz
'x,y,z'
loop_
_atom_site_label
_atom_site_fract_x
_atom_site_fract_y
_atom_site_fract_z
_atom_site_occupancy
Ca1 0.500 0.500 0.500 1
Mn1 0.000 0.000 0.000 1
S1 0.000 0.000 0.500 1
N1 0.000 0.500 0.000 1
N2 0.500 0.000 0.000 1
# Space group: P4/mmm
# Formation energy from raw total energies, eV/f.u.: -1.24

***

Number 1: E_tot -7.948 eV per atom. Number 2: E_tot -6.637 eV per atom.